GaBiWF2: relaxed, PBE with a Hubbard U.

Lattice parameters (Å, degrees): 4.4622 4.4622 6.0439 90.00 90.00 90.00
Positions (direct):
Ga: 0.0000 0.0000 0.0000
Bi: 0.0000 0.0000 0.5000
W: 0.5000 0.5000 0.0000
F: 0.0000 0.5000 0.5000
F: 0.5000 0.0000 0.5000

Results
- magnetization (μB/cell) = 4.60
- VASP energy (eV/atom) = -3.971